1.
Below is crystalline SrZnBr at its relaxed geometry, with properties calculated at the GGA-PBE level.

Summary:
calculated density	3.54	g/cm3
total magnetization	0.000	μB/atom
offset from the most stable computed form	0.4925	eV/atom
energy relative to the elements, uncorrected	-0.61	eV per atom
uncorrected energy	-2.1529	eV per atom
symmetry	F-43m

Cell lengths 5.364, 5.364, 5.364 Å; angles 60.00, 60.00, 60.00 degrees
Fractional coordinates of all 3 atoms:
Zn 0.000 0.000 0.000
Sr 0.750 0.750 0.750
Br 0.500 0.500 0.500



2.
Below is crystalline SrZrBr2 at its relaxed geometry, with properties calculated at the GGA-PBE level.

Summary:
calculated density	4.75	g/cm3
total magnetization	0.000	μB/atom
offset from the most stable computed form	0.1341	eV/atom
energy relative to the elements, uncorrected	-0.72	eV per atom
uncorrected energy	-4.1110	eV per atom
symmetry	Immm

Cell lengths 6.266, 6.266, 6.266 Å; angles 146.99, 116.01, 73.92 degrees
Fractional coordinates of all 4 atoms:
Br 0.964 0.964 0.000
Zr 0.750 0.250 0.500
Br 0.536 0.536 0.000
Sr 0.250 0.750 0.500



3.
Below is crystalline SrZr2Br at its relaxed geometry, with properties calculated at the GGA-PBE level.

Summary:
calculated density	5.49	g/cm3
total magnetization	0.000	μB/atom
offset from the most stable computed form	0.4703	eV/atom
energy relative to the elements, uncorrected	0.23	eV per atom
uncorrected energy	-4.8849	eV per atom
symmetry	P4/mmm

Cell lengths 3.341, 3.341, 9.483 Å; angles 90.00, 90.00, 90.00 degrees
Fractional coordinates of all 4 atoms:
Br 0.500 0.500 0.250
Zr 0.000 0.000 0.437
Zr 0.000 0.000 0.063
Sr 0.500 0.500 0.750



4.
Below is crystalline SrZrBr at its relaxed geometry, with properties calculated at the GGA-PBE level.

Summary:
calculated density	4.55	g/cm3
total magnetization	0.742	μB/atom
offset from the most stable computed form	0.6125	eV/atom
energy relative to the elements, uncorrected	0.26	eV per atom
uncorrected energy	-3.7118	eV per atom
symmetry	F-43m

Cell lengths 5.111, 5.111, 5.111 Å; angles 60.00, 60.00, 60.00 degrees
Site moments in Bohr magnetons follow the coordinates.
Fractional coordinates of all 3 atoms:
Sr 0.000 0.000 0.000  0.11
Br 0.250 0.250 0.250  0.02
Zr 0.500 0.500 0.500  1.13



5.
Below is crystalline SrZrBr at its relaxed geometry, with properties calculated at the GGA-PBE level.

Summary:
calculated density	5.11	g/cm3
total magnetization	0.256	μB/atom
offset from the most stable computed form	0.1209	eV/atom
energy relative to the elements, uncorrected	-0.24	eV per atom
uncorrected energy	-4.2034	eV per atom
symmetry	I4mm

Cell lengths 7.339, 7.339, 7.339 Å; angles 152.52, 152.52, 39.26 degrees
Site moments in Bohr magnetons follow the coordinates.
Fractional coordinates of all 3 atoms:
Br 0.014 0.014 0.000  0.00
Sr 0.338 0.338 0.000  0.04
Zr 0.648 0.648 0.000  0.38



6.
Below is crystalline SrZr2Br at its relaxed geometry, with properties calculated at the GGA-PBE level.

Summary:
calculated density	4.84	g/cm3
total magnetization	0.000	μB/atom
offset from the most stable computed form	0.2910	eV/atom
energy relative to the elements, uncorrected	0.05	eV per atom
uncorrected energy	-5.0642	eV per atom
symmetry	I-42d

Cell lengths 4.181, 4.181, 14.064 Å; angles 81.45, 81.45, 90.00 degrees
Fractional coordinates of all 8 atoms:
Sr 0.750 0.250 0.500
Br 0.500 0.500 0.000
Zr 0.627 0.125 0.250
Zr 0.375 0.373 0.750
Br 0.250 0.750 0.500
Zr 0.875 0.877 0.750
Sr 0.000 0.000 0.000
Zr 0.123 0.625 0.250



7.
Below is crystalline SrZrBr2 at its relaxed geometry, with properties calculated at the GGA-PBE level.

Summary:
calculated density	4.74	g/cm3
total magnetization	0.831	μB/atom
offset from the most stable computed form	0.3728	eV/atom
energy relative to the elements, uncorrected	-0.48	eV per atom
uncorrected energy	-3.8723	eV per atom
symmetry	I-4m2

Cell lengths 7.099, 7.099, 7.099 Å; angles 144.75, 144.75, 50.70 degrees
Site moments in Bohr magnetons follow the coordinates.
Fractional coordinates of all 4 atoms:
Zr 0.750 0.250 0.500  1.59
Br 0.000 0.000 0.000  0.05
Sr 0.500 0.500 0.000  0.14
Br 0.250 0.750 0.500  0.04



8.
Below is crystalline SrZrBr2 at its relaxed geometry, with properties calculated at the GGA-PBE level.

Summary:
calculated density	5.78	g/cm3
total magnetization	0.000	μB/atom
offset from the most stable computed form	0.3434	eV/atom
energy relative to the elements, uncorrected	-0.51	eV per atom
uncorrected energy	-3.9017	eV per atom
symmetry	Fm-3m

Cell lengths 5.161, 5.161, 5.161 Å; angles 60.00, 60.00, 60.00 degrees
Fractional coordinates of all 4 atoms:
Br 0.250 0.250 0.250
Zr 0.500 0.500 0.500
Br 0.750 0.750 0.750
Sr 0.000 0.000 0.000



9.
Below is crystalline SrZrBr2 at its relaxed geometry, with properties calculated at the GGA-PBE level.

Summary:
calculated density	5.00	g/cm3
total magnetization	0.305	μB/atom
offset from the most stable computed form	0.1453	eV/atom
energy relative to the elements, uncorrected	-0.71	eV per atom
uncorrected energy	-4.0998	eV per atom
symmetry	P2/m

Cell lengths 4.649, 3.629, 6.670 Å; angles 90.08, 90.00, 90.00 degrees
Site moments in Bohr magnetons follow the coordinates.
Fractional coordinates of all 4 atoms:
Br 0.000 0.750 0.504  0.00
Zr 0.500 0.750 0.750  0.71
Br 0.000 0.750 0.996  0.00
Sr 0.500 0.250 0.250  0.01



10.
Below is crystalline SrZr2Br at its relaxed geometry, with properties calculated at the GGA-PBE level.

Summary:
calculated density	5.40	g/cm3
total magnetization	0.000	μB/atom
offset from the most stable computed form	0.8513	eV/atom
energy relative to the elements, uncorrected	0.61	eV per atom
uncorrected energy	-4.5039	eV per atom
symmetry	P4/mmm

Cell lengths 5.629, 5.629, 3.398 Å; angles 90.00, 90.00, 90.00 degrees
Fractional coordinates of all 4 atoms:
Sr 0.000 0.500 0.500
Br 0.500 0.000 0.500
Zr 0.000 0.000 0.000
Zr 0.500 0.500 0.000



11.
Below is crystalline SrZrBr2 at its relaxed geometry, with properties calculated at the GGA-PBE level.

Summary:
calculated density	5.16	g/cm3
total magnetization	0.159	μB/atom
offset from the most stable computed form	0.1523	eV/atom
energy relative to the elements, uncorrected	-0.70	eV per atom
uncorrected energy	-4.0929	eV per atom
symmetry	Pm

Cell lengths 5.376, 3.649, 5.850 Å; angles 71.93, 90.00, 90.00 degrees
Site moments in Bohr magnetons follow the coordinates.
Fractional coordinates of all 4 atoms:
Sr 0.000 0.569 0.485  0.03
Zr 0.500 0.897 0.831  0.32
Br 0.000 0.848 0.931  0.01
Br 0.500 0.186 0.253  0.01



12.
Below is crystalline SrZrBr2 at its relaxed geometry, with properties calculated at the GGA-PBE level.

Summary:
calculated density	5.76	g/cm3
total magnetization	0.000	μB/atom
offset from the most stable computed form	0.3391	eV/atom
energy relative to the elements, uncorrected	-0.51	eV per atom
uncorrected energy	-3.9060	eV per atom
symmetry	P4/mmm

Cell lengths 5.211, 5.211, 3.592 Å; angles 90.00, 90.00, 90.00 degrees
Fractional coordinates of all 4 atoms:
Br 0.000 0.000 0.000
Zr 0.000 0.500 0.500
Br 0.500 0.500 0.000
Sr 0.500 0.000 0.500



13.
Below is crystalline SrZrBr at its relaxed geometry, with properties calculated at the GGA-PBE level.

Summary:
calculated density	4.93	g/cm3
total magnetization	0.000	μB/atom
offset from the most stable computed form	0.4066	eV/atom
energy relative to the elements, uncorrected	0.05	eV per atom
uncorrected energy	-3.9177	eV per atom
symmetry	P-6m2

Cell lengths 5.023, 5.023, 3.991 Å; angles 90.00, 90.00, 120.00 degrees
Fractional coordinates of all 3 atoms:
Br 0.000 0.000 0.834
Zr 0.333 0.667 0.833
Sr 0.667 0.333 0.333



14.
Below is crystalline SrZr2Br at its relaxed geometry, with properties calculated at the GGA-PBE level.

Summary:
calculated density	4.99	g/cm3
total magnetization	0.000	μB/atom
offset from the most stable computed form	0.0000	eV/atom
energy relative to the elements, uncorrected	-0.24	eV per atom
uncorrected energy	-5.3552	eV per atom
symmetry	P4mm

Cell lengths 3.443, 3.443, 9.826 Å; angles 90.00, 90.00, 90.00 degrees
Fractional coordinates of all 4 atoms:
Zr 0.500 0.500 0.221
Zr 0.000 0.000 0.030
Br 0.000 0.000 0.521
Sr 0.500 0.500 0.728



15.
Below is crystalline SrZrBr2 at its relaxed geometry, with properties calculated at the GGA-PBE level.

Summary:
calculated density	5.05	g/cm3
total magnetization	0.000	μB/atom
offset from the most stable computed form	0.0000	eV/atom
energy relative to the elements, uncorrected	-0.85	eV per atom
uncorrected energy	-4.2451	eV per atom
symmetry	P4mm

Cell lengths 3.828, 3.828, 7.594 Å; angles 90.00, 90.00, 90.00 degrees
Fractional coordinates of all 4 atoms:
Br 0.000 0.000 0.942
Zr 0.500 0.500 0.832
Sr 0.000 0.000 0.484
Br 0.500 0.500 0.243